Compound: NbAl2F
Source: the Alexandria database
Functional: meta-GGA SCAN
Structure: PBEsol geometry

Raw formation energy, eV per atom: -0.440

Lattice parameters (Å, degrees): 5.479 5.479 5.479 104.66 111.93 111.93
Atoms (fractional coordinates):
Al 0.081 0.206 0.625
Al 0.419 0.875 0.794
Nb 0.500 0.750 0.250
Al 0.581 0.375 0.456
F 0.500 0.250 0.750
F 0.000 0.500 0.500
Al 0.919 0.544 0.125
Nb 0.000 0.000 0.000

Compound: CaAu2Se
Source: the Alexandria database
Functional: meta-GGA SCAN
Structure: PBEsol geometry

Raw formation energy, eV per atom: -0.766

Lattice parameters (Å, degrees): 3.968 3.968 5.807 109.98 109.98 90.00
Atoms (fractional coordinates):
Au 0.250 0.750 0.500
Au 0.750 0.250 0.500
Ca 0.500 0.500 0.000
Se 0.000 0.000 0.000